Entry from Alexandria: crystalline Ti2Be15Rh2 at its relaxed geometry (GGA-PBE).

The structure in extended XYZ format:
```
19
Lattice="3.815 2.203 3.659 -3.815 2.203 3.659 0.000 -4.405 3.659" Properties=species:S:1:pos:R:3 pbc="T T T"
Ti 0.000 0.000 1.674
Ti 0.000 0.000 9.304
Be -1.908 -1.101 3.659
Be 0.000 -2.264 3.547
Be -1.961 1.132 3.547
Be -1.113 -1.928 5.489
Be -2.227 0.000 5.489
Be -1.961 -1.132 7.431
Be -1.908 1.101 7.319
Be 1.113 -1.928 5.489
Be 0.000 2.203 3.659
Be -1.113 1.928 5.489
Be 1.961 1.132 3.547
Be 2.227 0.000 5.489
Be 1.113 1.928 5.489
Be 1.961 -1.132 7.431
Be 0.000 2.264 7.431
Rh 0.000 0.000 4.234
Rh 0.000 0.000 6.745
```

Computed properties:
raw total energy	-4.8069	eV per atom
formation enthalpy at 0 K	-0.2603	eV/atom

Entry from Alexandria: crystalline EuDyCuSn at its relaxed geometry (GGA-PBE).

The structure in extended XYZ format:
```
4
Lattice="0.000 3.721 3.721 3.721 0.000 3.721 3.721 3.721 0.000" Properties=species:S:1:pos:R:3 pbc="T T T"
Eu 0.000 0.000 0.000
Dy 3.721 3.721 3.721
Cu 5.581 5.581 5.581
Sn 1.860 1.860 1.860
```

Computed properties:
raw total energy	-6.1532	eV per atom
formation enthalpy at 0 K	-0.4094	eV/atom

Entry from Alexandria: crystalline Sm2GaS at its relaxed geometry (GGA-PBE).

The structure in extended XYZ format:
```
8
Lattice="2.113 -11.330 0.000 2.113 11.330 0.000 0.000 0.000 4.047" Properties=species:S:1:pos:R:3 pbc="T T T"
Sm 2.113 9.756 3.035
Sm 2.113 4.192 3.035
Sm 2.113 -4.192 1.012
Sm 2.113 -9.756 1.012
Ga 2.113 0.868 3.035
Ga 2.113 -0.868 1.012
S 2.113 6.978 3.035
S 2.113 -6.978 1.012
```

Computed properties:
raw total energy	-5.4827	eV per atom
formation energy (no corrections)	-1.33	eV per atom

Entry from Alexandria: crystalline TlCrBr2 at its relaxed geometry (GGA-PBE).

The structure in extended XYZ format:
```
4
Lattice="-1.837 3.100 5.275 1.837 -3.100 5.275 1.837 3.100 -5.275" Properties=species:S:1:pos:R:3 pbc="T T T"
Tl 0.000 0.000 0.000
Cr 0.000 0.000 5.275
Br 1.837 0.000 3.484
Br 0.000 3.100 1.791
```

Computed properties:
raw total energy	-4.2102	eV per atom
formation energy (no corrections)	-0.38	eV per atom

Entry from Alexandria: crystalline AlSiSe at its relaxed geometry (GGA-PBE).

The structure in extended XYZ format:
```
6
Lattice="9.278 -1.729 0.000 9.278 1.729 0.000 -1.128 0.000 4.673" Properties=species:S:1:pos:R:3 pbc="T T T"
Al 2.938 0.000 0.931
Al 14.491 0.000 3.743
Si 5.274 0.000 1.739
Si 12.154 0.000 2.935
Se 7.330 0.000 0.592
Se 10.099 0.000 4.082
```

Computed properties:
raw total energy	-4.3077	eV per atom
formation energy (no corrections)	-0.09	eV per atom

Entry from Alexandria: crystalline Rb2SrGeIr at its relaxed geometry (GGA-PBE).

The structure in extended XYZ format:
```
5
Lattice="6.686 0.000 0.000 0.000 6.686 0.000 0.000 0.000 4.670" Properties=species:S:1:pos:R:3 pbc="T T T"
Rb 0.000 3.343 0.000
Rb 3.343 0.000 0.000
Sr 0.000 0.000 2.335
Ge 3.343 3.343 0.000
Ir 3.343 3.343 2.335
```

Computed properties:
raw total energy	-3.0348	eV per atom
formation enthalpy at 0 K	0.3843	eV/atom

Entry from Alexandria: crystalline Ho3TmSc4 at its relaxed geometry (GGA-PBE).

The structure in extended XYZ format:
```
16
Lattice="10.732 0.000 0.000 0.000 6.909 0.000 0.000 0.000 5.987" Properties=species:S:1:pos:R:3 pbc="T T T"
Ho 0.000 0.918 0.000
Ho 2.684 0.918 2.042
Ho 2.682 5.992 5.036
Ho 5.366 5.991 2.994
Ho 8.048 0.918 2.042
Ho 8.050 5.992 5.036
Tm 0.000 5.989 2.992
Tm 5.366 0.920 5.985
Sc 0.000 2.641 3.036
Sc 0.000 4.269 0.042
Sc 2.677 4.269 2.001
Sc 2.689 2.640 4.995
Sc 5.366 2.640 3.035
Sc 5.366 4.269 0.043
Sc 8.043 2.640 4.995
Sc 8.055 4.269 2.001
```

Computed properties:
raw total energy	-5.4198	eV per atom
formation enthalpy at 0 K	0.0216	eV/atom

Entry from Alexandria: crystalline Ca2PmIO8 at its relaxed geometry (GGA-PBE).

The structure in extended XYZ format:
```
12
Lattice="4.592 0.000 0.000 0.000 7.082 0.000 -0.128 0.000 5.171" Properties=species:S:1:pos:R:3 pbc="T T T"
Ca 0.000 1.707 0.000
Ca 0.000 5.376 0.000
Pm 2.232 3.541 2.585
I 2.232 0.000 2.585
O 0.201 3.541 1.387
O 0.555 0.000 1.662
O 1.748 1.401 3.774
O 1.748 5.682 3.774
O 2.717 1.401 1.396
O 2.717 5.682 1.396
O 3.910 0.000 3.509
O 4.264 3.541 3.784
```

Computed properties:
raw total energy	-5.8767	eV per atom
formation energy (no corrections)	-1.71	eV per atom

Entry from Alexandria: crystalline IrPdNO2 at its relaxed geometry (GGA-PBE).

The structure in extended XYZ format:
```
5
Lattice="3.997 0.000 0.000 0.000 3.997 0.000 0.000 0.000 3.841" Properties=species:S:1:pos:R:3 pbc="T T T"
Ir 0.000 0.000 0.000
Pd 1.999 1.999 1.920
N 1.999 1.999 0.000
O 0.000 1.999 1.920
O 1.999 0.000 1.920
```

Computed properties:
raw total energy	-5.0210	eV per atom
formation energy (no corrections)	1.44	eV per atom

Entry from Alexandria: crystalline ZrMn2Cd at its relaxed geometry (GGA-PBE).

The structure in extended XYZ format:
```
4
Lattice="1.521 0.878 9.266 -1.521 0.878 9.266 0.000 -1.756 9.266" Properties=species:S:1:pos:R:3 pbc="T T T"
Zr 0.000 0.000 0.000
Mn 0.000 0.000 6.973
Mn 0.000 0.000 20.825
Cd 0.000 0.000 13.899
```

Computed properties:
raw total energy	-6.6230	eV per atom
formation enthalpy at 0 K	0.3276	eV/atom

Entry from Alexandria: crystalline CsY3Cu at its relaxed geometry (GGA-PBE).

The structure in extended XYZ format:
```
5
Lattice="5.618 0.000 0.000 0.000 5.618 0.000 0.000 0.000 5.618" Properties=species:S:1:pos:R:3 pbc="T T T"
Cs 0.000 0.000 0.000
Y 0.000 2.809 2.809
Y 2.809 0.000 2.809
Y 2.809 2.809 0.000
Cu 2.809 2.809 2.809
```

Computed properties:
raw total energy	-4.5034	eV per atom
formation enthalpy at 0 K	0.3649	eV/atom

Entry from Alexandria: crystalline BeReIr at its relaxed geometry (GGA-PBE).

The structure in extended XYZ format:
```
6
Lattice="4.013 0.000 0.000 -2.003 4.324 0.000 -0.007 -2.488 4.389" Properties=species:S:1:pos:R:3 pbc="T T T"
Be 0.002 1.030 0.558
Be 2.002 0.806 3.831
Re 0.001 3.593 0.994
Re 2.003 -1.756 3.395
Ir -0.004 -0.067 2.815
Ir 2.007 1.903 1.574
```

Computed properties:
raw total energy	-8.5692	eV per atom
formation enthalpy at 0 K	-0.2241	eV/atom

Entry from Alexandria: crystalline TiInCu at its relaxed geometry (GGA-PBE).

The structure in extended XYZ format:
```
6
Lattice="3.971 0.000 0.000 0.000 3.971 0.000 0.000 0.000 6.869" Properties=species:S:1:pos:R:3 pbc="T T T"
Ti 0.993 0.993 0.946
Ti 2.978 2.978 5.922
In 0.993 2.978 3.434
In 2.978 0.993 3.434
Cu 0.993 0.993 5.348
Cu 2.978 2.978 1.521
```

Computed properties:
raw total energy	-4.7309	eV per atom
formation enthalpy at 0 K	0.1790	eV/atom

Entry from Alexandria: crystalline Ca6Hg3H2 at its relaxed geometry (GGA-PBE).

The structure in extended XYZ format:
```
11
Lattice="-2.460 2.460 12.026 2.460 -2.460 12.026 2.460 2.460 -12.026" Properties=species:S:1:pos:R:3 pbc="T T T"
Ca 2.460 0.000 1.969
Ca 0.000 0.000 4.858
Ca 2.460 0.000 10.057
Ca 0.000 2.460 1.969
Ca 0.000 0.000 19.193
Ca 0.000 2.460 10.057
Hg 0.000 0.000 7.957
Hg 0.000 0.000 12.026
Hg 0.000 0.000 16.094
H 0.000 0.000 2.467
H 0.000 0.000 21.584
```

Computed properties:
raw total energy	-2.1827	eV per atom

Entry from Alexandria: crystalline La4Th3MnN8 at its relaxed geometry (GGA-PBE).

The structure in extended XYZ format:
```
16
Lattice="3.657 2.112 6.025 -3.657 2.112 6.025 0.000 -4.223 6.025" Properties=species:S:1:pos:R:3 pbc="T T T"
La 0.000 0.000 0.000
La -1.829 -1.056 6.025
La -1.829 1.056 12.049
La 0.000 2.112 6.025
Th -3.657 0.000 9.037
Th -1.829 1.056 3.012
Th 1.829 1.056 3.012
Mn 0.000 0.000 9.037
N -1.889 -1.091 10.460
N 0.000 0.000 4.398
N 0.000 -2.182 7.614
N -1.889 1.091 7.614
N 1.889 -1.091 10.460
N 0.000 2.182 10.460
N 0.000 0.000 13.676
N 1.889 1.091 7.614
```

Computed properties:
raw total energy	-8.5951	eV per atom
formation energy (no corrections)	-1.24	eV per atom

Entry from Alexandria: crystalline Sm6MgP2Se3 at its relaxed geometry (GGA-PBE).

The structure in extended XYZ format:
```
12
Lattice="9.125 -2.074 0.000 9.125 2.074 0.000 -1.909 0.000 8.288" Properties=species:S:1:pos:R:3 pbc="T T T"
Sm -0.401 0.000 2.257
Sm 4.228 0.000 7.410
Sm 5.176 0.000 3.542
Sm 11.165 0.000 4.746
Sm 12.112 0.000 0.878
Sm 16.741 0.000 6.031
Mg 9.125 0.000 0.000
P 2.425 0.000 2.787
P 13.915 0.000 5.501
Se 1.393 0.000 6.908
Se 8.170 0.000 4.144
Se 14.948 0.000 1.380
```

Computed properties:
raw total energy	-5.6736	eV per atom
formation energy (no corrections)	-1.41	eV per atom

Entry from Alexandria: crystalline KSb2Pb3 at its relaxed geometry (GGA-PBE).

The structure in extended XYZ format:
```
12
Lattice="-2.282 5.787 8.047 2.282 -5.787 8.047 2.282 5.787 -8.047" Properties=species:S:1:pos:R:3 pbc="T T T"
K 0.000 0.000 2.079
K 0.000 0.000 14.015
Sb 2.282 2.023 0.000
Sb 2.282 0.000 5.124
Sb 0.000 5.787 2.923
Sb 0.000 3.765 8.047
Pb 2.282 3.458 -2.879
Pb 0.000 4.085 0.000
Pb 2.282 3.458 2.879
Pb 0.000 2.329 5.168
Pb 0.000 7.490 0.000
Pb 0.000 2.329 10.927
```

Computed properties:
raw total energy	-3.5251	eV per atom
formation energy (no corrections)	-0.11	eV per atom

Entry from Alexandria: crystalline Hf2BeN at its relaxed geometry (GGA-PBE).

The structure in extended XYZ format:
```
8
Lattice="1.632 -9.609 0.000 1.632 9.609 0.000 0.000 0.000 3.430" Properties=species:S:1:pos:R:3 pbc="T T T"
Hf 1.632 8.087 2.572
Hf 1.632 3.722 2.572
Hf 1.632 -3.722 0.857
Hf 1.632 -8.087 0.857
Be 1.632 0.608 2.572
Be 1.632 -0.608 0.857
N 1.632 5.904 2.572
N 1.632 -5.904 0.857
```

Computed properties:
raw total energy	-8.9281	eV per atom
formation energy (no corrections)	-0.94	eV per atom

Entry from Alexandria: crystalline CaHfW2 at its relaxed geometry (GGA-PBE).

The structure in extended XYZ format:
```
4
Lattice="0.000 3.405 3.405 3.405 0.000 3.405 3.405 3.405 0.000" Properties=species:S:1:pos:R:3 pbc="T T T"
Ca 0.000 0.000 0.000
Hf 3.405 3.405 3.405
W 1.703 1.703 1.703
W 5.108 5.108 5.108
```

Computed properties:
raw total energy	-8.4801	eV per atom
formation enthalpy at 0 K	0.9853	eV/atom

Entry from Alexandria: crystalline Ca2AlCd at its relaxed geometry (GGA-PBE).

The structure in extended XYZ format:
```
4
Lattice="3.845 0.000 0.000 0.000 5.301 0.000 0.000 0.000 5.303" Properties=species:S:1:pos:R:3 pbc="T T T"
Ca 0.000 0.000 0.000
Ca 0.000 2.650 2.632
Al 1.922 0.000 2.657
Cd 1.922 2.650 5.273
```

Computed properties:
raw total energy	-2.4374	eV per atom
formation enthalpy at 0 K	-0.2722	eV/atom

Entry from Alexandria: crystalline Sm5AlSb2 at its relaxed geometry (GGA-PBE).

The structure in extended XYZ format:
```
16
Lattice="2.839 -4.818 0.000 2.839 4.818 0.000 0.000 0.000 17.370" Properties=species:S:1:pos:R:3 pbc="T T T"
Sm 2.839 4.065 10.107
Sm 2.839 4.065 15.949
Sm 2.839 2.326 4.343
Sm 2.839 0.918 10.586
Sm 2.839 0.918 15.470
Sm 2.839 -0.918 1.901
Sm 2.839 -0.918 6.784
Sm 2.839 -2.326 13.028
Sm 2.839 -4.065 1.422
Sm 2.839 -4.065 7.264
Al 2.839 4.040 13.028
Al 2.839 -4.040 4.343
Sb 2.839 2.254 1.199
Sb 2.839 2.254 7.487
Sb 2.839 -2.254 9.884
Sb 2.839 -2.254 16.172
```

Computed properties:
raw total energy	-4.9023	eV per atom
formation energy (no corrections)	-0.45	eV per atom

Entry from Alexandria: crystalline NbV4Ir at its relaxed geometry (GGA-PBE).

The structure in extended XYZ format:
```
6
Lattice="0.000 3.506 3.506 3.506 0.000 3.506 3.506 3.506 0.000" Properties=species:S:1:pos:R:3 pbc="T T T"
Nb 0.000 0.000 0.000
V 2.627 2.627 2.627
V 4.384 4.384 2.627
V 4.384 2.627 4.384
V 2.627 4.384 4.384
Ir 5.258 5.258 5.258
```

Computed properties:
raw total energy	-9.3635	eV per atom
formation enthalpy at 0 K	-0.1293	eV/atom

Entry from Alexandria: crystalline SrZr4 at its relaxed geometry (GGA-PBE).

The structure in extended XYZ format:
```
5
Lattice="-3.324 3.324 3.324 3.324 -3.324 3.324 3.324 3.324 -3.324" Properties=species:S:1:pos:R:3 pbc="T T T"
Sr 0.000 0.000 0.000
Zr 1.662 1.662 -1.662
Zr 1.662 -1.662 1.662
Zr -1.662 1.662 1.662
Zr 1.662 1.662 1.662
```

Computed properties:
raw total energy	-5.5177	eV per atom
formation enthalpy at 0 K	1.6572	eV/atom

Entry from Alexandria: crystalline Sm6SiNi2Cl3 at its relaxed geometry (GGA-PBE).

The structure in extended XYZ format:
```
12
Lattice="9.207 -2.009 0.000 9.207 2.009 0.000 -2.516 0.000 8.227" Properties=species:S:1:pos:R:3 pbc="T T T"
Sm -0.394 0.000 1.989
Sm 4.936 0.000 3.570
Sm 3.988 0.000 7.224
Sm 11.910 0.000 1.004
Sm 10.962 0.000 4.657
Sm 16.291 0.000 6.238
Si 9.207 0.000 0.000
Ni 2.266 0.000 2.861
Ni 13.631 0.000 5.366
Cl 0.850 0.000 6.931
Cl 7.949 0.000 4.114
Cl 15.048 0.000 1.297
```

Computed properties:
raw total energy	-5.2066	eV per atom
formation energy (no corrections)	-0.97	eV per atom

Number 1: calculated volume 185 Å³/cell. Number 2: calculated volume 103 Å³/cell. Number 3: calculated volume 194 Å³/cell. Number 4: calculated volume 120 Å³/cell. Number 5: calculated volume 150 Å³/cell. Number 6: calculated volume 209 Å³/cell. Number 7: calculated volume 444 Å³/cell. Number 8: calculated volume 168 Å³/cell. Number 9: calculated volume 61 Å³/cell. Number 10: calculated volume 74 Å³/cell. Number 11: calculated volume 177 Å³/cell. Number 12: calculated volume 76 Å³/cell. Number 13: calculated volume 108 Å³/cell. Number 14: calculated volume 291 Å³/cell. Number 15: calculated volume 279 Å³/cell. Number 16: calculated volume 314 Å³/cell. Number 17: calculated volume 425 Å³/cell. Number 18: calculated volume 108 Å³/cell. Number 19: calculated volume 79 Å³/cell. Number 20: calculated volume 108 Å³/cell. Number 21: calculated volume 475 Å³/cell. Number 22: calculated volume 86 Å³/cell. Number 23: calculated volume 147 Å³/cell. Number 24: calculated volume 304 Å³/cell.